PrYNi3 | PBE-GGA | relaxed

abc: 4.025 3.982 12.316
angles: 99.30 90.00 90.00
Atoms (fractional coordinates):
1 Ni 0.750 0.525 0.050
2 Ni 0.750 0.622 0.244
3 Ni 0.750 0.325 0.650
4 Pr 0.750 0.928 0.856
5 Y 0.750 0.204 0.409
6 Ni 0.250 0.675 0.350
7 Ni 0.250 0.475 0.950
8 Pr 0.250 0.072 0.144
9 Y 0.250 0.796 0.591
10 Ni 0.250 0.378 0.756

Calculated values
size of the total moment: 0.000 μB per atom
energy: -6.071 eV per atom
V: 19.5 Å³ per atom
DOS at the Fermi energy: 5.2 states/eV/f.u.